# Ba3InCu

A geometry-optimized Ba3InCu structure (PBE-GGA, the Alexandria database).

Lattice parameters (Å, degrees): 6.147 6.147 6.147 90.00 90.00 90.00
Space group Pm-3m (No. 221)
Asymmetric unit:
Ba (0.000, 0.000, 0.500) x3
In (0.500, 0.500, 0.500) x1
Cu (0.000, 0.000, 0.000) x1

Summary:
Energy relative to the elements, meV/atom: 25

=====

# TlTeRu2

A geometry-optimized TlTeRu2 structure (PBE-GGA, the Alexandria database).

Lattice parameters (Å, degrees): 6.720 6.720 6.720 90.00 90.00 90.00
Space group F-43m (No. 216)
Asymmetric unit:
Tl (0.000, 0.000, 0.000) x4
Te (0.250, 0.250, 0.750) x4
Ru (0.000, 0.000, 0.500) x4
Ru (0.250, 0.250, 0.250) x4

Summary:
Energy relative to the elements, uncorrected, meV per atom: 855.3

=====

# ReTcPb2

A geometry-optimized ReTcPb2 structure (PBE-GGA, the Alexandria database).

Lattice parameters (Å, degrees): 3.297 5.399 8.986 90.00 90.00 90.00
Space group Cmmm (No. 65)
Asymmetric unit:
Re (0.000, 0.000, 0.000) x2
Tc (0.000, 0.000, 0.500) x2
Pb (0.000, 0.500, 0.253) x4

Summary:
Energy relative to the elements, meV/atom: 1129

=====

# SrPb2Au

A geometry-optimized SrPb2Au structure (PBE-GGA, the Alexandria database).

Lattice parameters (Å, degrees): 4.690 4.153 6.803 90.00 109.92 90.00
Space group Pm (No. 6)
Asymmetric unit:
Sr (0.000, 0.000, 0.000) x1
Pb (0.278, 0.000, 0.552) x1
Pb (0.684, 0.500, 0.361) x1
Au (0.444, 0.500, 0.888) x1

Summary:
Energy relative to the elements, meV/atom: -379

=====

# TbPaH

A geometry-optimized TbPaH structure (PBE-GGA, the Alexandria database).

Lattice parameters (Å, degrees): 3.3506 3.3506 5.9344 90.00 90.00 120.00
Space group P3m1 (No. 156)
Asymmetric unit:
Tb (0.0000, 0.0000, 0.0000) x1
Pa (0.3333, 0.6667, 0.5068) x1
H (0.6667, 0.3333, 0.2543) x1

=====

# CsSb2TeCl

A geometry-optimized CsSb2TeCl structure (PBE-GGA, the Alexandria database).

Lattice parameters (Å, degrees): 7.959 7.959 7.478 90.00 90.00 90.00
Space group P4/mmm (No. 123)
Asymmetric unit:
Cs (0.000, 0.000, 0.000) x1
Sb (0.000, 0.500, 0.000) x2
Te (0.000, 0.000, 0.500) x1
Cl (0.500, 0.500, 0.500) x1

Summary:
Energy relative to the elements, uncorrected, meV per atom: 1121.0

=====

# Ba2Al2Sb

A geometry-optimized Ba2Al2Sb structure (PBE-GGA, the Alexandria database).

Lattice parameters (Å, degrees): 7.871 7.871 5.312 90.00 90.00 90.00
Space group P4/mbm (No. 127)
Asymmetric unit:
Ba (0.179, 0.321, 0.000) x4
Al (0.120, 0.620, 0.500) x4
Sb (0.000, 0.000, 0.500) x2

Summary:
Energy relative to the elements, uncorrected, meV per atom: -289.6

=====

# SbOsRu

A geometry-optimized SbOsRu structure (PBE-GGA, the Alexandria database).

Lattice parameters (Å, degrees): 2.980 2.980 11.400 90.00 90.00 90.00
Space group I4mm (No. 107)
Asymmetric unit:
Sb (0.000, 0.000, 0.000) x2
Os (0.000, 0.000, 0.319) x2
Ru (0.000, 0.000, 0.681) x2

Summary:
Energy relative to the elements, uncorrected, meV per atom: 477.2

=====

# Dy4IrPb3

A geometry-optimized Dy4IrPb3 structure (PBE-GGA, the Alexandria database).

Lattice parameters (Å, degrees): 3.518 3.518 16.990 90.00 90.00 90.00
Space group P4/mmm (No. 123)
Asymmetric unit:
Dy (0.000, 0.000, 0.096) x2
Dy (0.000, 0.000, 0.367) x2
Ir (0.500, 0.500, 0.000) x1
Pb (0.500, 0.500, 0.236) x2
Pb (0.500, 0.500, 0.500) x1

Summary:
Energy relative to the elements, meV/atom: -552

=====

# V2Zn2Mo

A geometry-optimized V2Zn2Mo structure (PBE-GGA, the Alexandria database).

Lattice parameters (Å, degrees): 6.717 6.717 3.183 90.00 90.00 90.00
Space group P4/mbm (No. 127)
Asymmetric unit:
V (0.179, 0.321, 0.000) x4
Zn (0.124, 0.624, 0.500) x4
Mo (0.000, 0.000, 0.500) x2

Summary:
Energy relative to the elements, meV/atom: 232

=====

# NaGeBi

A geometry-optimized NaGeBi structure (PBE-GGA, the Alexandria database).

Lattice parameters (Å, degrees): 4.2223 4.2223 18.0723 90.00 90.00 120.00
Space group R3m (No. 160, hexagonal axes)
Asymmetric unit:
Na (0.0000, 0.0000, 0.0000) x3
Ge (0.0000, 0.0000, 0.5534) x3
Bi (0.0000, 0.0000, 0.8071) x3

Summary:
Energy relative to the elements, meV/atom: -80

=====

# RbMg14V

A geometry-optimized RbMg14V structure (PBE-GGA, the Alexandria database).

Lattice parameters (Å, degrees): 6.5155 6.5155 10.6462 90.00 90.00 120.00
Space group P-6m2 (No. 187)
Asymmetric unit:
Rb (0.0000, 0.0000, 0.0000) x1
Mg (0.0102, 0.5051, 0.0000) x3
Mg (0.1679, 0.3358, 0.2720) x6
Mg (0.5031, 0.0063, 0.5000) x3
Mg (0.6667, 0.3333, 0.2401) x2
V (0.0000, 0.0000, 0.5000) x1

Summary:
Energy relative to the elements, meV/atom: 212

=====

Number 1: ρ 4.2 Mg/m³, energy -12.48 eV/f.u., density of states at the Fermi level 6.93 states/eV per cell. Number 2: ρ 11.7 Mg/m³, energy -20.64 eV/f.u., density of states at the Fermi level 22.57 states/eV per cell. Number 3: ρ 14.5 Mg/m³, energy -25.71 eV/f.u., density of states at the Fermi level 9.52 states/eV per cell. Number 4: ρ 9.3 Mg/m³, energy -13.89 eV/f.u., density of states at the Fermi level 1.85 states/eV per cell. Number 5: ρ 11.3 Mg/m³, energy -17.65 eV/f.u., density of states at the Fermi level 5.78 states/eV per cell. Number 6: ρ 1.9 Mg/m³, energy -8.48 eV/f.u., density of states at the Fermi level 12.98 states/eV per cell. Number 7: ρ 4.5 Mg/m³, energy -16.90 eV/f.u., density of states at the Fermi level 14.20 states/eV per cell. Number 8: ρ 13.6 Mg/m³, energy -23.20 eV/f.u., density of states at the Fermi level 6.39 states/eV per cell. Number 9: ρ 11.6 Mg/m³, energy -42.81 eV/f.u., density of states at the Fermi level 4.81 states/eV per cell. Number 10: ρ 7.6 Mg/m³, energy -30.46 eV/f.u., density of states at the Fermi level 9.01 states/eV per cell. Number 11: ρ 5.4 Mg/m³, energy -10.06 eV/f.u., density of states at the Fermi level 0.85 states/eV per cell. Number 12: ρ 2.0 Mg/m³, energy -29.01 eV/f.u., density of states at the Fermi level 8.23 states/eV per cell.